(1)
The following is a DFT calculation (PBE-GGA) of crystalline Na3Mg2USe6 at its relaxed geometry.

Properties
- total energy (eV per atom) = -4.497
- formation energy from raw total energies (eV per atom) = -1.22
- crystal system = monoclinic
- symmetry = C2/m

Cell and atoms, written as POSCAR:
```
Na3Mg2USe6
1.0
6.930 -0.001 0.001
-3.464 6.003 0.001
-1.156 -2.001 6.993
Na Mg U Se
3 2 1 6
Direct
0.167 0.833 0.500
0.833 0.167 0.500
0.500 0.500 0.500
0.333 0.667 0.000
0.667 0.333 0.000
0.000 0.000 0.000
0.926 0.594 0.778
0.741 0.741 0.221
0.074 0.406 0.222
0.594 0.926 0.778
0.259 0.259 0.779
0.406 0.074 0.222
```

(2)
The following is a DFT calculation (PBE-GGA) of crystalline LiPuTlBi at its relaxed geometry.

Properties
- total energy (eV per atom) = -5.838
- crystal system = cubic
- symmetry = F-43m
- energy of formation from the pure elements (eV per atom) = -0.215

Cell and atoms, written as POSCAR:
```
LiPuTlBi
1.0
5.335 0.000 0.000
2.667 4.620 0.000
2.667 1.540 4.356
Tl Li Bi Pu
1 1 1 1
Direct
0.750 0.750 0.750
0.000 0.000 0.000
0.250 0.250 0.250
0.500 0.500 0.500
```

(3)
The following is a DFT calculation (PBE-GGA) of crystalline ScTiGa at its relaxed geometry.

Properties
- total energy (eV per atom) = -6.114
- crystal system = hexagonal
- symmetry = P6_3/mmc
- energy of formation from the pure elements (eV per atom) = -0.363
- excess energy over the best structure of this formula in the dataset (meV per atom) = 67

Cell and atoms, written as POSCAR:
```
ScTiGa
1.0
-4.300 -1.727 0.476
3.039 -0.319 3.515
-1.844 5.159 2.062
Sc Ti Ga
2 2 2
Direct
0.000 0.500 0.000
0.000 0.500 0.500
0.667 0.833 0.750
0.333 0.167 0.250
0.333 0.167 0.750
0.667 0.833 0.250
```

(4)
The following is a DFT calculation (PBE-GGA) of crystalline BaPm2Cl8 at its relaxed geometry.

Properties
- total energy (eV per atom) = -4.707
- formation energy from raw total energies (eV per atom) = -2.33
- crystal system = monoclinic
- symmetry = C2/m

Cell and atoms, written as POSCAR:
```
BaPm2Cl8
1.0
5.433 -0.007 -0.011
-0.906 7.643 0.001
-0.906 -2.942 7.054
Ba Pm Cl
1 2 8
Direct
0.500 0.000 0.000
0.000 0.320 0.680
0.000 0.680 0.320
0.925 0.943 0.676
0.925 0.676 0.943
0.294 0.613 0.613
0.500 0.750 0.250
0.500 0.250 0.750
0.706 0.387 0.387
0.075 0.324 0.057
0.075 0.057 0.324
```

(5)
The following is a DFT calculation (PBE-GGA) of crystalline LaCoBr2 at its relaxed geometry.

Properties
- total energy (eV per atom) = -4.321
- formation energy from raw total energies (eV per atom) = -0.48
- crystal system = monoclinic
- symmetry = P2/m
- excess energy over the best structure of this formula in the dataset (meV per atom) = 430

Cell and atoms, written as POSCAR:
```
LaCoBr2
1.0
-4.607 0.016 0.918
0.647 -3.249 3.306
1.216 -0.235 6.106
Br Co La
2 1 1
Direct
0.000 0.000 0.000
0.500 0.500 0.000
0.500 0.500 0.500
0.000 0.000 0.500
```

(6)
The following is a DFT calculation (PBE-GGA) of crystalline DyHo3Er8 at its relaxed geometry.

Properties
- total energy (eV per atom) = -3.840
- crystal system = tetragonal
- symmetry = I4/mmm
- energy of formation from the pure elements (eV per atom) = 0.730

Cell and atoms, written as POSCAR:
```
DyHo3Er8
1.0
6.606 0.000 -3.737
-2.114 6.258 -3.737
0.840 1.170 9.191
Dy Ho Er
1 3 8
Direct
0.000 0.000 0.000
0.250 0.750 0.500
0.500 0.500 0.000
0.750 0.250 0.500
0.875 0.375 0.250
0.375 0.375 0.250
0.125 0.125 0.750
0.625 0.125 0.750
0.375 0.875 0.250
0.875 0.875 0.250
0.625 0.625 0.750
0.125 0.625 0.750
```